A geometry-optimized CoNi6Pt5 structure. Source: Alexandria, functional GGA-PBE.

For the total energy, the calculation gives -6.0859 eV/atom. The density of states at the Fermi level is 1.516 states/eV per atom. As for the volume: 13.09 Å³/atom. Its theoretical density is 14.66 Mg/m³.

It has space group Immm (No. 71), with a = 3.7873 Å, b = 7.2985 Å, c = 11.3655 Å, α = 90.00°, β = 90.00° and γ = 90.00°. Symmetry generates all atoms from Co at (0.0000, 0.0000, 0.0000), Ni at (0.0000, 0.2470, 0.1644), Ni at (0.0000, 0.2546, 0.5000), Pt at (0.0000, 0.0000, 0.3323), Pt at (0.0000, 0.5000, 0.0000) and Pt at (0.0000, 0.5000, 0.3405).